# 1
Here is a geometry-optimized YF3 structure from Alexandria. Energies are from GGA-PBEsol.

Cell: 6.7265 6.7265 6.9133 Å, 90.00 90.00 120.00°
With the nearest neighbours (Å) after each atom.
Space group P-3c1 (No. 165)
Inequivalent atoms, fractional coordinates:
Y: 0.0000 0.3460 0.2500 x6  9 F 2.25-2.45
F: 0.0000 0.0000 0.2500 x2  3 Y 2.33
F: 0.0682 0.3747 0.9213 x12  3 Y 2.30-2.45, 5 F 2.50-2.57
F: 0.3333 0.6667 0.1818 x4  3 Y 2.25, 3 F 2.51

Properties
total DFT energy (no corrections): -7.30 eV/atom

=====

# 2
Here is a geometry-optimized LiAg2F4 structure from Alexandria. Energies are from GGA-PBEsol.

Cell: 6.1333 9.9106 12.2859 Å, 90.00 90.00 90.00°
With the nearest neighbours (Å) after each atom.
Space group Fddd (No. 70, origin choice 2)
Inequivalent atoms, fractional coordinates:
Li: 0.1250 0.1250 0.1250 x8  4 F 1.84
Ag: 0.1250 0.2759 0.6250 x16  4 F 2.16-2.23
F: 0.0521 0.2600 0.4531 x32  1 Li 1.84

Properties
energy above the most stable polymorph in this dataset: 0.000 eV per atom
total DFT energy (no corrections): -3.89 eV/atom

=====

# 3
Here is a geometry-optimized CuGeO3 structure from Alexandria. Energies are from GGA-PBEsol.

Cell: 11.8089 9.7269 8.2795 Å, 90.00 90.00 90.00°
With the nearest neighbours (Å) after each atom.
Space group Cmce (No. 64)
Inequivalent atoms, fractional coordinates:
Cu: 0.0000 0.0000 0.0000 x4  4 O 1.93
Cu: 0.0000 0.0000 0.5000 x4  4 O 1.92
Cu: 0.2467 0.0000 0.0000 x8  4 O 1.92-1.93
Ge: 0.1252 0.2133 0.2492 x16  4 O 1.76-1.79
O: 0.0000 0.1838 0.7503 x8  2 Ge 1.78
O: 0.1240 0.1147 0.0703 x16  1 Ge 1.76, 2 Cu 1.92-1.93
O: 0.1263 0.1037 0.4181 x16  1 Ge 1.76, 2 Cu 1.92-1.93
O: 0.2500 0.1831 0.7500 x8  2 Ge 1.79

Properties
total DFT energy (no corrections): -6.18 eV/atom

=====

# 4
Here is a geometry-optimized SbHOsI2 structure from Alexandria. Energies are from GGA-PBEsol.

Cell: 5.1080 5.1080 3.7262 Å, 90.00 90.00 90.00°
With the nearest neighbours (Å) after each atom.
Space group P4/mmm (No. 123)
Inequivalent atoms, fractional coordinates:
Sb: 0.0000 0.0000 0.0000 x1  2 H 1.86
H: 0.0000 0.0000 0.5000 x1  2 Sb 1.86
Os: 0.5000 0.5000 0.0000 x1  8 I 3.16
I: 0.0000 0.5000 0.5000 x2  2 H 2.55

Properties
total DFT energy (no corrections): -3.44 eV/atom

=====

What did the first record say?
Here is a geometry-optimized YF3 structure from Alexandria. Energies are from GGA-PBEsol.

Cell: 6.7265 6.7265 6.9133 Å, 90.00 90.00 120.00°
With the nearest neighbours (Å) after each atom.
Space group P-3c1 (No. 165)
Inequivalent atoms, fractional coordinates:
Y: 0.0000 0.3460 0.2500 x6  9 F 2.25-2.45
F: 0.0000 0.0000 0.2500 x2  3 Y 2.33
F: 0.0682 0.3747 0.9213 x12  3 Y 2.30-2.45, 5 F 2.50-2.57
F: 0.3333 0.6667 0.1818 x4  3 Y 2.25, 3 F 2.51

Properties
total DFT energy (no corrections): -7.30 eV/atom